A relaxed Na2NiH14N6 crystal, computed with PBE-GGA.

Cell: 8.4269 8.4269 8.4269 Å, 114.63 114.63 99.58°
Each line ends with the local moment (μB).
Fractional positions:
H 0.6558 0.9526 0.6084  0.00
N 0.1191 0.3793 0.8551  0.00
H 0.7017 0.9915 0.2567  0.00
N 0.2736 0.9596 0.2332  0.00
N 0.8809 0.6207 0.1449  0.00
Ni 0.3083 0.3083 0.0000  -0.10
H 0.3442 0.0474 0.3916  0.00
H 0.9915 0.7347 0.2897  0.00
H 0.2653 0.5550 0.2567  0.00
N 0.0404 0.2736 0.3140  0.00
Na 0.2881 0.3828 0.6709  0.00
N 0.7360 0.8809 0.2602  0.00
H 0.8974 0.7169 0.7656  0.00
H 0.7169 0.9513 0.8195  0.00
H 0.9513 0.1318 0.2344  0.00
Na 0.3828 0.7119 0.0947  0.00
H 0.0085 0.2653 0.7103  0.00
H 0.4914 0.1199 0.0694  0.00
N 0.2640 0.1191 0.7398  0.00
N 0.6207 0.4758 0.7398  0.00
N 0.5242 0.2640 0.1449  0.00
H 0.7347 0.4450 0.7433  0.00
N 0.7264 0.0404 0.7668  0.00
N 0.4758 0.7360 0.8551  0.00
H 0.5550 0.2983 0.2897  0.00
Ni 0.6917 0.6917 0.0000  -0.10
H 0.8801 0.9495 0.3715  0.00
H 0.4450 0.7017 0.7103  0.00
H 0.0487 0.8682 0.7656  0.00
N 0.9596 0.7264 0.6860  0.00
H 0.5086 0.8801 0.9306  0.00
H 0.9495 0.5780 0.0694  0.00
H 0.0505 0.4220 0.9306  0.00
H 0.1026 0.2831 0.2344  0.00
H 0.0474 0.6558 0.7032  0.00
H 0.5780 0.5086 0.6285  0.00
H 0.2831 0.0487 0.1805  0.00
H 0.1318 0.8974 0.1805  0.00
H 0.9526 0.3442 0.2968  0.00
H 0.4220 0.4914 0.3715  0.00
Na 0.6172 0.2881 0.9053  0.00
H 0.1199 0.0505 0.6285  0.00
H 0.8682 0.1026 0.8195  0.00
Na 0.7119 0.6172 0.3291  0.00
H 0.2983 0.0085 0.7433  0.00
N 0.3793 0.5242 0.2602  0.00

Output
Its symmetry is I4/m (87). As for the density: 1.49 g cm⁻³. The total energy comes out at -4.906 eV per atom.


A relaxed Cs5Rb12Hg3 crystal, computed with PBE-GGA.

Cell: 21.8673 21.8673 21.8673 Å, 109.47 109.47 109.47°
Fractional positions:
Rb 0.6328 0.5392 0.8789
Hg 0.2500 0.1250 0.3750
Cs 0.7500 0.6250 0.3750
Rb 0.0937 0.4608 0.8397
Rb 0.7461 0.4063 0.3672
Hg 0.3750 0.7500 0.6250
Rb 0.7539 0.1328 0.0937
Cs 0.5000 0.0000 0.5000
Cs 0.0000 0.5000 0.0000
Cs 0.5000 0.5000 0.5000
Rb 0.8397 0.8789 0.2461
Rb 0.6211 0.7539 0.6603
Rb 0.8672 0.6211 0.9608
Rb 0.3397 0.5937 0.4608
Hg 0.1250 0.2500 0.8750
Rb 0.6328 0.0937 0.2539
Cs 0.0000 0.5000 0.5000
Hg 0.6250 0.3750 0.7500
Rb 0.8672 0.2461 0.4063
Rb 0.3397 0.7461 0.3789
Hg 0.8750 0.7500 0.1250
Rb 0.9063 0.5392 0.1603
Rb 0.3789 0.2461 0.3397
Rb 0.9608 0.1211 0.8672
Cs 0.6250 0.8750 0.2500
Rb 0.4063 0.7461 0.8672
Rb 0.0937 0.6328 0.7539
Rb 0.0392 0.8789 0.1328
Hg 0.6250 0.2500 0.3750
Rb 0.8789 0.0392 0.6328
Rb 0.9608 0.8397 0.5937
Rb 0.7461 0.3397 0.8789
Rb 0.8789 0.8397 0.7461
Rb 0.3789 0.1328 0.5392
Rb 0.6603 0.4063 0.5392
Cs 0.1250 0.7500 0.3750
Hg 0.7500 0.3750 0.1250
Hg 0.2500 0.6250 0.8750
Cs 0.8750 0.6250 0.7500
Rb 0.9063 0.3672 0.2461
Rb 0.4608 0.0937 0.3397
Rb 0.1328 0.3789 0.0392
Cs 0.3750 0.1250 0.7500
Cs 0.7500 0.1250 0.8750
Rb 0.5392 0.9063 0.6603
Cs 0.2500 0.3750 0.6250
Cs 0.5000 0.0000 0.0000
Rb 0.8397 0.9608 0.0937
Rb 0.3672 0.9063 0.7461
Rb 0.2539 0.6603 0.1211
Cs 0.6250 0.7500 0.8750
Rb 0.1211 0.9608 0.3672
Rb 0.1603 0.1211 0.7539
Rb 0.5937 0.2539 0.1328
Cs 0.0000 0.0000 0.5000
Rb 0.5392 0.6328 0.3789
Hg 0.7500 0.8750 0.6250
Cs 0.0000 0.0000 0.0000
Cs 0.8750 0.2500 0.6250
Rb 0.7539 0.6211 0.1603
Cs 0.2500 0.8750 0.1250
Hg 0.1250 0.8750 0.7500
Rb 0.1328 0.7539 0.5937
Rb 0.4063 0.6603 0.0392
Cs 0.3750 0.2500 0.1250
Rb 0.2461 0.3789 0.8397
Cs 0.1250 0.3750 0.2500
Rb 0.6603 0.2539 0.6211
Hg 0.8750 0.1250 0.2500
Rb 0.2539 0.5937 0.6328
Rb 0.6211 0.8672 0.4608
Rb 0.0392 0.1603 0.4063
Rb 0.4608 0.3672 0.6211
Rb 0.1603 0.0392 0.9063
Rb 0.2461 0.8672 0.9063
Rb 0.3672 0.4608 0.1211
Hg 0.3750 0.6250 0.2500
Rb 0.1211 0.1603 0.2539
Cs 0.5000 0.5000 0.0000
Rb 0.5937 0.3397 0.9608

Output
The formation energy is 1.70 eV/f.u. Its symmetry is Ia-3d (230). As for the density: 1.89 g cm⁻³. The total energy comes out at -0.754 eV per atom.


A relaxed La4Pm2Mg crystal, computed with PBE-GGA.

Cell: 6.9399 9.1736 9.1736 Å, 79.07 67.77 67.77°
Fractional positions:
La 0.7691 0.7590 0.2590
Pm 0.2842 0.9658 0.4658
La 0.2129 0.7590 0.2590
La 0.2309 0.2410 0.7410
Pm 0.5000 0.5000 0.5000
La 0.8459 0.1671 0.1412
La 0.7871 0.2410 0.7410
Pm 0.5000 0.0000 0.0000
La 0.8459 0.6412 0.6671
Mg 0.0000 0.5000 0.0000
Mg 0.5000 0.5000 0.0000
Pm 0.7158 0.0342 0.5342
La 0.1541 0.3588 0.3329
La 0.1541 0.8329 0.8588

Output
The formation energy is 1.06 eV/f.u. Its symmetry is Imma (74). As for the density: 5.78 g cm⁻³. The total energy comes out at -4.250 eV per atom. Its distance to the lowest polymorph of the same formula is 0.0 meV/atom.


A relaxed LaZr5 crystal, computed with PBE-GGA.

Cell: 5.9806 5.9806 5.9806 Å, 60.00 60.00 60.00°
Each line ends with the local moment (μB).
Fractional positions:
La 0.0000 0.0000 0.0000  0.16
Zr 0.6236 0.6236 0.1291  0.20
Zr 0.6236 0.6236 0.6236  0.20
Zr 0.1291 0.6236 0.6236  0.20
Zr 0.6236 0.1291 0.6236  0.20
Zr 0.2500 0.2500 0.2500  0.19

Output
The formation energy is 1.77 eV/f.u. Its symmetry is F-43m (216). As for the density: 6.53 g cm⁻³. The total energy comes out at -7.651 eV per atom.


A relaxed HgPbAu10 crystal, computed with PBE-GGA.

Cell: 4.6830 5.6801 9.6628 Å, 90.00 90.00 90.00°
Fractional positions:
Au 0.5000 0.5000 0.0000
Au 0.5000 0.0000 0.5000
Au 0.5000 0.2448 0.2452
Au 0.5000 0.7552 0.2452
Pb 0.0000 0.0000 0.0000
Au 0.5000 0.2448 0.7548
Au 0.0000 0.0000 0.6612
Au 0.0000 0.5000 0.1755
Au 0.0000 0.0000 0.3388
Au 0.5000 0.7552 0.7548
Au 0.0000 0.5000 0.8245
Hg 0.0000 0.5000 0.5000

Output
The formation energy is 0.35 eV/f.u. Its symmetry is Pmmm (47). As for the density: 15.36 g cm⁻³. The total energy comes out at -3.037 eV per atom.


A relaxed La2Tb12Tm5 crystal, computed with PBE-GGA.

Cell: 9.2345 12.4393 8.5293 Å, 132.62 90.00 111.79°
Fractional positions:
Tb 0.5605 0.1210 0.7942
Tm 0.7679 0.5358 0.1124
Tb 0.0220 0.6824 0.9266
Tm 0.3033 0.6066 0.6149
Tb 0.1839 0.7502 0.3987
Tm 0.6967 0.3934 0.3851
Tb 0.6605 0.6824 0.9266
Tb 0.4337 0.2498 0.6013
Tb 0.5663 0.7502 0.3987
Tb 0.0961 0.1922 0.3096
Tb 0.9039 0.8078 0.6904
Tm 0.0000 0.0000 0.5000
La 0.3128 0.0000 0.0000
Tm 0.2321 0.4642 0.8876
La 0.6872 0.0000 0.0000
Tb 0.9780 0.3176 0.0734
Tb 0.4395 0.8790 0.2058
Tb 0.3395 0.3176 0.0734
Tb 0.8161 0.2498 0.6013

Output
The formation energy is 2.66 eV/f.u. Its symmetry is C2/m (12). As for the density: 8.08 g cm⁻³. The total energy comes out at -4.480 eV per atom. Its distance to the lowest polymorph of the same formula is 119.3 meV/atom.